# 1
{
  "formula": "Li2AgBi3S6",
  "functional": "GGA-PBE",
  "state": "relaxed",
  "volume_a3_per_atom": 22.07,
  "raw_formation_energy_ev_per_fu": -6.830,
  "lattice_angstrom": [[8.638, -1.997, 0.000], [8.638, 1.997, 0.000], [-1.560, 0.000, 7.676]],
  "species": ["Li", "Li", "Ag", "Bi", "Bi", "Bi", "S", "S", "S", "S", "S", "S"],
  "frac_coords": [[0.167, 0.167, 0.334], [0.833, 0.833, 0.666], [0.500, 0.500, 0.000], [0.167, 0.167, 0.835], [0.500, 0.500, 0.500], [0.833, 0.833, 0.165], [0.006, 0.006, 0.245], [0.330, 0.330, 0.901], [0.331, 0.331, 0.419], [0.669, 0.669, 0.581], [0.670, 0.670, 0.099], [0.994, 0.994, 0.755]]
}


# 2
{
  "formula": "LiAgBiSb",
  "functional": "GGA-PBE",
  "state": "relaxed",
  "volume_a3_per_atom": 23.49,
  "raw_formation_energy_ev_per_fu": -0.329,
  "lattice_angstrom": [[0.000, 3.608, 3.608], [3.608, 0.000, 3.608], [3.608, 3.608, 0.000]],
  "species": ["Li", "Ag", "Bi", "Sb"],
  "frac_coords": [[0.000, 0.000, 0.000], [0.500, 0.500, 0.500], [0.250, 0.250, 0.250], [0.750, 0.750, 0.750]]
}


# 3
{
  "formula": "Li2AgBi3Se6",
  "functional": "GGA-PBE",
  "state": "relaxed",
  "volume_a3_per_atom": 24.85,
  "raw_formation_energy_ev_per_fu": -6.877,
  "lattice_angstrom": [[8.975, -2.078, 0.000], [8.975, 2.078, 0.000], [-1.675, 0.000, 7.996]],
  "species": ["Li", "Li", "Ag", "Bi", "Bi", "Bi", "Se", "Se", "Se", "Se", "Se", "Se"],
  "frac_coords": [[0.167, 0.167, 0.335], [0.833, 0.833, 0.665], [0.500, 0.500, 0.000], [0.167, 0.167, 0.834], [0.500, 0.500, 0.500], [0.833, 0.833, 0.166], [0.005, 0.005, 0.243], [0.331, 0.331, 0.422], [0.333, 0.333, 0.904], [0.667, 0.667, 0.096], [0.669, 0.669, 0.578], [0.995, 0.995, 0.757]]
}


# 4
{
  "formula": "LiAgBiSe3",
  "functional": "GGA-PBE",
  "state": "relaxed",
  "volume_a3_per_atom": 24.90,
  "raw_formation_energy_ev_per_fu": -2.206,
  "lattice_angstrom": [[8.313, 0.000, 0.000], [0.000, 4.061, 0.000], [-2.895, 0.000, 8.850]],
  "species": ["Li", "Li", "Ag", "Ag", "Bi", "Bi", "Se", "Se", "Se", "Se", "Se", "Se"],
  "frac_coords": [[0.188, 0.250, 0.166], [0.812, 0.750, 0.834], [0.394, 0.750, 0.413], [0.606, 0.250, 0.587], [0.283, 0.750, 0.821], [0.717, 0.250, 0.179], [0.061, 0.250, 0.860], [0.245, 0.250, 0.486], [0.427, 0.750, 0.136], [0.573, 0.250, 0.864], [0.755, 0.750, 0.514], [0.939, 0.750, 0.140]]
}


# 5
{
  "formula": "LiAgBiSe2",
  "functional": "GGA-PBE",
  "state": "relaxed",
  "volume_a3_per_atom": 24.58,
  "raw_formation_energy_ev_per_fu": -1.771,
  "lattice_angstrom": [[6.858, 0.000, 0.000], [0.000, 5.221, 0.000], [-1.844, 0.000, 6.865]],
  "species": ["Li", "Li", "Ag", "Ag", "Bi", "Bi", "Se", "Se", "Se", "Se"],
  "frac_coords": [[0.000, 0.007, 0.250], [0.000, 0.993, 0.750], [0.000, 0.500, 0.000], [0.000, 0.500, 0.500], [0.500, 0.303, 0.750], [0.500, 0.697, 0.250], [0.280, 0.175, 0.046], [0.280, 0.825, 0.546], [0.720, 0.175, 0.454], [0.720, 0.825, 0.954]]
}


# 6
{
  "formula": "Li2AgSnBi",
  "functional": "GGA-PBE",
  "state": "relaxed",
  "volume_a3_per_atom": 22.81,
  "formation_enthalpy_0k_ev_per_atom": -0.1776,
  "lattice_angstrom": [[5.483, 0.000, 0.000], [0.000, 6.323, 0.000], [0.000, 0.000, 6.579]],
  "species": ["Li", "Li", "Li", "Li", "Ag", "Ag", "Sn", "Sn", "Bi", "Bi"],
  "frac_coords": [[0.250, 0.224, 0.223], [0.250, 0.776, 0.223], [0.750, 0.224, 0.777], [0.750, 0.776, 0.777], [0.000, 0.500, 0.500], [0.500, 0.500, 0.500], [0.250, 0.500, 0.870], [0.750, 0.500, 0.130], [0.250, 0.000, 0.757], [0.750, 0.000, 0.243]]
}


# 7
{
  "formula": "Li2Ag7Sn2Bi",
  "functional": "GGA-PBE",
  "state": "relaxed",
  "volume_a3_per_atom": 20.25,
  "formation_enthalpy_0k_ev_per_atom": -0.0319,
  "lattice_angstrom": [[2.980, -3.039, 0.000], [2.980, 3.039, 0.000], [-0.014, 0.000, 13.416]],
  "species": ["Li", "Li", "Ag", "Ag", "Ag", "Ag", "Ag", "Ag", "Ag", "Sn", "Sn", "Bi"],
  "frac_coords": [[0.000, 0.000, 0.181], [0.000, 0.000, 0.819], [0.000, 0.000, 0.500], [0.000, 0.500, 0.328], [0.000, 0.500, 0.672], [0.242, 0.242, 0.000], [0.500, 0.000, 0.328], [0.500, 0.000, 0.672], [0.758, 0.758, 0.000], [0.500, 0.500, 0.180], [0.500, 0.500, 0.820], [0.500, 0.500, 0.500]]
}


# 8
{
  "formula": "LiAgSnBi",
  "functional": "GGA-PBE",
  "state": "relaxed",
  "volume_a3_per_atom": 23.26,
  "formation_enthalpy_0k_ev_per_atom": -0.1191,
  "lattice_angstrom": [[0.000, 3.596, 3.596], [3.596, 0.000, 3.596], [3.596, 3.596, 0.000]],
  "species": ["Li", "Ag", "Sn", "Bi"],
  "frac_coords": [[0.000, 0.000, 0.000], [0.500, 0.500, 0.500], [0.250, 0.250, 0.250], [0.750, 0.750, 0.750]]
}


# 9
{
  "formula": "LiThAgBi",
  "functional": "GGA-PBE",
  "state": "relaxed",
  "volume_a3_per_atom": 25.64,
  "formation_enthalpy_0k_ev_per_atom": -0.2259,
  "lattice_angstrom": [[0.000, 3.715, 3.715], [3.715, 0.000, 3.715], [3.715, 3.715, 0.000]],
  "species": ["Li", "Th", "Ag", "Bi"],
  "frac_coords": [[0.000, 0.000, 0.000], [0.500, 0.500, 0.500], [0.750, 0.750, 0.750], [0.250, 0.250, 0.250]]
}


# 10
{
  "formula": "LiTiAgBi",
  "functional": "GGA-PBE",
  "state": "relaxed",
  "volume_a3_per_atom": 19.74,
  "formation_enthalpy_0k_ev_per_atom": -0.0683,
  "lattice_angstrom": [[0.000, 3.405, 3.405], [3.405, 0.000, 3.405], [3.405, 3.405, 0.000]],
  "species": ["Li", "Ti", "Ag", "Bi"],
  "frac_coords": [[0.000, 0.000, 0.000], [0.500, 0.500, 0.500], [0.250, 0.250, 0.250], [0.750, 0.750, 0.750]]
}


# 11
{
  "formula": "LiTlAgBi2",
  "functional": "GGA-PBE",
  "state": "relaxed",
  "volume_a3_per_atom": 34.82,
  "formation_enthalpy_0k_ev_per_atom": 0.2613,
  "lattice_angstrom": [[5.595, 0.000, 0.000], [0.000, 5.595, 0.000], [0.000, 0.000, 5.562]],
  "species": ["Li", "Tl", "Ag", "Bi", "Bi"],
  "frac_coords": [[0.000, 0.000, 0.000], [0.500, 0.500, 0.000], [0.500, 0.500, 0.500], [0.000, 0.500, 0.500], [0.500, 0.000, 0.500]]
}


# 12
{
  "formula": "LiZnAgBi",
  "functional": "GGA-PBE",
  "state": "relaxed",
  "volume_a3_per_atom": 20.41,
  "de_polymorph_ev_per_atom": 0.041,
  "formation_enthalpy_0k_ev_per_atom": -0.0535,
  "lattice_angstrom": [[0.000, 3.443, 3.443], [3.443, 0.000, 3.443], [3.443, 3.443, 0.000]],
  "species": ["Li", "Zn", "Ag", "Bi"],
  "frac_coords": [[0.000, 0.000, 0.000], [0.750, 0.750, 0.750], [0.500, 0.500, 0.500], [0.250, 0.250, 0.250]]
}


# 13
{
  "formula": "LiZnAgBi",
  "functional": "GGA-PBE",
  "state": "relaxed",
  "volume_a3_per_atom": 20.40,
  "de_polymorph_ev_per_atom": 0.000,
  "formation_enthalpy_0k_ev_per_atom": -0.0948,
  "lattice_angstrom": [[4.509, -2.084, 0.000], [4.509, 2.084, 0.000], [-1.604, 0.000, 4.343]],
  "species": ["Li", "Zn", "Ag", "Bi"],
  "frac_coords": [[0.000, 0.000, 0.000], [0.249, 0.249, 0.753], [0.515, 0.515, 0.582], [0.756, 0.756, 0.257]]
}


# 14
{
  "formula": "LiZrAg2Bi",
  "functional": "GGA-PBE",
  "state": "relaxed",
  "volume_a3_per_atom": 27.04,
  "formation_enthalpy_0k_ev_per_atom": 0.7958,
  "lattice_angstrom": [[5.306, 0.000, 0.000], [0.000, 5.306, 0.000], [0.000, 0.000, 4.801]],
  "species": ["Li", "Zr", "Ag", "Ag", "Bi"],
  "frac_coords": [[0.000, 0.000, 0.000], [0.500, 0.500, 0.000], [0.000, 0.500, 0.500], [0.500, 0.000, 0.500], [0.000, 0.000, 0.500]]
}


# 15
{
  "formula": "LiZrAgBi",
  "functional": "GGA-PBE",
  "state": "relaxed",
  "volume_a3_per_atom": 21.43,
  "formation_enthalpy_0k_ev_per_atom": -0.1108,
  "lattice_angstrom": [[0.000, 3.500, 3.500], [3.500, 0.000, 3.500], [3.500, 3.500, 0.000]],
  "species": ["Li", "Zr", "Ag", "Bi"],
  "frac_coords": [[0.000, 0.000, 0.000], [0.500, 0.500, 0.500], [0.750, 0.750, 0.750], [0.250, 0.250, 0.250]]
}


# 16
{
  "formula": "LuAgBi",
  "functional": "GGA-PBE",
  "state": "relaxed",
  "volume_a3_per_atom": 25.82,
  "formation_enthalpy_0k_ev_per_atom": -0.2714,
  "lattice_angstrom": [[4.629, 0.000, 0.000], [-2.314, 4.008, 0.000], [0.000, 0.000, 4.175]],
  "species": ["Lu", "Ag", "Bi"],
  "frac_coords": [[0.000, 0.000, 0.000], [0.667, 0.333, 0.687], [0.333, 0.667, 0.420]]
}


# 17
{
  "formula": "LuAgBi",
  "functional": "GGA-PBE",
  "state": "relaxed",
  "volume_a3_per_atom": 25.70,
  "formation_enthalpy_0k_ev_per_atom": -0.1995,
  "lattice_angstrom": [[-2.032, 2.032, 4.670], [2.032, -2.032, 4.670], [2.032, 2.032, -4.670]],
  "species": ["Lu", "Ag", "Bi"],
  "frac_coords": [[0.000, 0.000, 0.000], [0.334, 0.334, 0.000], [0.660, 0.660, 0.000]]
}


# 18
{
  "formula": "LuAg2Bi",
  "functional": "GGA-PBE",
  "state": "relaxed",
  "volume_a3_per_atom": 23.42,
  "formation_enthalpy_0k_ev_per_atom": -0.2088,
  "lattice_angstrom": [[3.870, 0.000, 0.000], [0.000, 3.870, 0.000], [0.000, 0.000, 6.254]],
  "species": ["Lu", "Ag", "Ag", "Bi"],
  "frac_coords": [[0.000, 0.000, 0.000], [0.500, 0.500, 0.232], [0.500, 0.500, 0.768], [0.000, 0.000, 0.500]]
}


# 19
{
  "formula": "Lu2AgBi",
  "functional": "GGA-PBE",
  "state": "relaxed",
  "volume_a3_per_atom": 25.45,
  "formation_enthalpy_0k_ev_per_atom": -0.3742,
  "lattice_angstrom": [[3.840, 0.000, 0.000], [0.000, 3.840, 0.000], [0.000, 0.000, 6.905]],
  "species": ["Lu", "Lu", "Ag", "Bi"],
  "frac_coords": [[0.000, 0.000, 0.242], [0.000, 0.000, 0.758], [0.500, 0.500, 0.000], [0.500, 0.500, 0.500]]
}


# 20
{
  "formula": "LuAg2Bi",
  "functional": "GGA-PBE",
  "state": "relaxed",
  "volume_a3_per_atom": 22.91,
  "formation_enthalpy_0k_ev_per_atom": -0.2625,
  "lattice_angstrom": [[4.358, 0.000, 0.000], [0.000, 4.358, 0.000], [0.000, 0.000, 4.826]],
  "species": ["Lu", "Ag", "Ag", "Bi"],
  "frac_coords": [[0.000, 0.000, 0.000], [0.000, 0.500, 0.500], [0.500, 0.000, 0.500], [0.500, 0.500, 0.000]]
}


# 21
{
  "formula": "Lu2AgBi",
  "functional": "GGA-PBE",
  "state": "relaxed",
  "volume_a3_per_atom": 28.24,
  "formation_enthalpy_0k_ev_per_atom": 0.0434,
  "lattice_angstrom": [[1.728, 0.998, 10.918], [-1.728, 0.998, 10.918], [0.000, -1.996, 10.918]],
  "species": ["Lu", "Lu", "Ag", "Bi"],
  "frac_coords": [[0.096, 0.096, 0.096], [0.904, 0.904, 0.904], [0.500, 0.500, 0.500], [0.000, 0.000, 0.000]]
}


# 22
{
  "formula": "LuMgAgBi",
  "functional": "GGA-PBE",
  "state": "relaxed",
  "volume_a3_per_atom": 24.33,
  "formation_enthalpy_0k_ev_per_atom": -0.2055,
  "lattice_angstrom": [[0.000, 3.651, 3.651], [3.651, 0.000, 3.651], [3.651, 3.651, 0.000]],
  "species": ["Lu", "Mg", "Ag", "Bi"],
  "frac_coords": [[0.000, 0.000, 0.000], [0.500, 0.500, 0.500], [0.250, 0.250, 0.250], [0.750, 0.750, 0.750]]
}


# 23
{
  "formula": "LuAgBiPd",
  "functional": "GGA-PBE",
  "state": "relaxed",
  "volume_a3_per_atom": 21.56,
  "formation_enthalpy_0k_ev_per_atom": -0.4387,
  "lattice_angstrom": [[0.000, 3.507, 3.507], [3.507, 0.000, 3.507], [3.507, 3.507, 0.000]],
  "species": ["Lu", "Ag", "Bi", "Pd"],
  "frac_coords": [[0.000, 0.000, 0.000], [0.250, 0.250, 0.250], [0.500, 0.500, 0.500], [0.750, 0.750, 0.750]]
}


# 24
{
  "formula": "PmLuAgBi",
  "functional": "GGA-PBE",
  "state": "relaxed",
  "volume_a3_per_atom": 26.73,
  "formation_enthalpy_0k_ev_per_atom": -0.3850,
  "lattice_angstrom": [[0.000, 3.767, 3.767], [3.767, 0.000, 3.767], [3.767, 3.767, 0.000]],
  "species": ["Pm", "Lu", "Ag", "Bi"],
  "frac_coords": [[0.000, 0.000, 0.000], [0.500, 0.500, 0.500], [0.250, 0.250, 0.250], [0.750, 0.750, 0.750]]
}


# 25
{
  "formula": "LuAgBiPt",
  "functional": "GGA-PBE",
  "state": "relaxed",
  "volume_a3_per_atom": 21.48,
  "formation_enthalpy_0k_ev_per_atom": -0.4897,
  "lattice_angstrom": [[0.000, 3.503, 3.503], [3.503, 0.000, 3.503], [3.503, 3.503, 0.000]],
  "species": ["Lu", "Ag", "Bi", "Pt"],
  "frac_coords": [[0.000, 0.000, 0.000], [0.750, 0.750, 0.750], [0.500, 0.500, 0.500], [0.250, 0.250, 0.250]]
}


# 26
{
  "formula": "LuPuAgBi",
  "functional": "GGA-PBE",
  "state": "relaxed",
  "volume_a3_per_atom": 26.17,
  "formation_enthalpy_0k_ev_per_atom": -0.2425,
  "lattice_angstrom": [[0.000, 3.741, 3.741], [3.741, 0.000, 3.741], [3.741, 3.741, 0.000]],
  "species": ["Lu", "Pu", "Ag", "Bi"],
  "frac_coords": [[0.000, 0.000, 0.000], [0.500, 0.500, 0.500], [0.750, 0.750, 0.750], [0.250, 0.250, 0.250]]
}


# 27
{
  "formula": "Mg2AgBi2",
  "functional": "GGA-PBE",
  "state": "relaxed",
  "volume_a3_per_atom": 26.60,
  "de_polymorph_ev_per_atom": 0.000,
  "formation_enthalpy_0k_ev_per_atom": 0.0370,
  "lattice_angstrom": [[8.733, 0.000, 0.000], [0.000, 8.733, 0.000], [0.000, 0.000, 3.487]],
  "species": ["Mg", "Mg", "Mg", "Mg", "Ag", "Ag", "Bi", "Bi", "Bi", "Bi"],
  "frac_coords": [[0.130, 0.370, 0.000], [0.370, 0.870, 0.000], [0.630, 0.130, 0.000], [0.870, 0.630, 0.000], [0.000, 0.000, 0.500], [0.500, 0.500, 0.500], [0.172, 0.672, 0.500], [0.328, 0.172, 0.500], [0.672, 0.828, 0.500], [0.828, 0.328, 0.500]]
}


# 28
{
  "formula": "Mg2Ag2Bi",
  "functional": "GGA-PBE",
  "state": "relaxed",
  "volume_a3_per_atom": 23.21,
  "de_polymorph_ev_per_atom": 0.103,
  "formation_enthalpy_0k_ev_per_atom": -0.0335,
  "lattice_angstrom": [[-1.969, 1.969, 7.486], [1.969, -1.969, 7.486], [1.969, 1.969, -7.486]],
  "species": ["Mg", "Mg", "Ag", "Ag", "Bi"],
  "frac_coords": [[0.108, 0.108, 0.000], [0.892, 0.892, 0.000], [0.250, 0.750, 0.500], [0.750, 0.250, 0.500], [0.500, 0.500, 0.000]]
}